Run a
A relaxed structure of HoSbTe3. Source: the Alexandria database, functional GGA-PBE.

Cell and atoms, written as POSCAR:
```
HoSbTe3
1.0
11.241 0.000 0.000
0.000 4.336 0.000
0.000 0.000 14.683
Ho Sb Te
4 4 12
Direct
0.158 0.250 0.028
0.342 0.750 0.528
0.658 0.250 0.472
0.842 0.750 0.972
0.050 0.250 0.640
0.450 0.750 0.140
0.550 0.250 0.860
0.950 0.750 0.360
0.020 0.750 0.126
0.159 0.250 0.459
0.200 0.750 0.708
0.300 0.250 0.208
0.341 0.750 0.959
0.480 0.250 0.626
0.520 0.750 0.374
0.659 0.250 0.041
0.700 0.750 0.792
0.800 0.250 0.292
0.841 0.750 0.541
0.980 0.250 0.874
```

Summary:
As for the total magnetization: 0.00 Bohr magnetons per cell. As for the space group: Pnma.


Run b
A relaxed structure of HoSbTe3. Source: the Alexandria database, functional GGA-PBE.

Cell and atoms, written as POSCAR:
```
HoSbTe3
1.0
3.872 2.236 6.954
-3.872 2.236 6.954
0.000 -4.472 6.954
Ho Sb Te
2 2 6
Direct
0.153 0.153 0.153
0.847 0.847 0.847
0.339 0.339 0.339
0.661 0.661 0.661
0.062 0.748 0.448
0.252 0.552 0.938
0.448 0.062 0.748
0.552 0.938 0.252
0.748 0.448 0.062
0.938 0.252 0.552
```

Summary:
As for the total magnetization: 0.00 Bohr magnetons per cell. As for the space group: R-3.


It turns out run a is the most stable, with the second structure 0.056 eV/atom higher.